# 1
Sc7Tl2Cd2: optimized geometry, PBE.

Geometry as CIF:
```
data_Sc7Tl2Cd2
_cell_length_a 6.6577
_cell_length_b 10.6364
_cell_length_c 8.0775
_cell_angle_alpha 90.00
_cell_angle_beta 90.00
_cell_angle_gamma 90.00
_space_group_name_H-M_alt 'C m m m'
_space_group_IT_number 65
_space_group_name_Hall '-C 2 2'
loop_
_atom_site_label
_atom_site_fract_x
_atom_site_fract_y
_atom_site_fract_z
_atom_site_occupancy
Sc1 0.0000 0.0000 0.0000 1
Sc2 0.0000 0.5000 0.2033 1
Sc3 0.2500 0.2500 0.3011 1
Tl1 0.2277 0.0000 0.5000 1
Cd1 0.0000 0.2728 0.0000 1
```

Calculated formation energy: 0.1049 eV per atom


# 2
Li2GeIrN: optimized geometry, PBE.

Geometry as CIF:
```
data_Li2GeIrN
_cell_length_a 4.9387
_cell_length_b 4.9387
_cell_length_c 3.6672
_cell_angle_alpha 90.00
_cell_angle_beta 90.00
_cell_angle_gamma 90.00
_space_group_name_H-M_alt 'P 4/m m m'
_space_group_IT_number 123
_space_group_name_Hall '-P 4 2'
loop_
_atom_site_label
_atom_site_fract_x
_atom_site_fract_y
_atom_site_fract_z
_atom_site_occupancy
Li1 0.0000 0.5000 0.0000 1
Ge1 0.0000 0.0000 0.5000 1
Ir1 0.5000 0.5000 0.0000 1
N1 0.5000 0.5000 0.5000 1
```

Formation energy from raw total energies: 0.298 eV per atom


Total DFT energy (no corrections): -4.5208 -4.8278 (eV/atom)